No. 1
# Ba2NdFeO5

Ba2NdFeO5 after structural relaxation (PBE+U, the Alexandria database).

Structure (POSCAR):
```
Ba2NdFeO5
1.0
1.8302 -7.5308 0.0000
1.8302 7.5308 0.0000
0.0000 0.0000 11.7024
Ba Nd Fe O
4 2 2 10
Direct
0.1024 0.8976 0.5000
0.1404 0.8596 0.1626
0.8596 0.1404 0.6626
0.8976 0.1024 0.0000
0.2005 0.7995 0.8679
0.7995 0.2005 0.3679
0.4563 0.5437 0.2575
0.5437 0.4563 0.7575
0.0320 0.9680 0.8253
0.2875 0.7125 0.4950
0.3301 0.6699 0.2319
0.3482 0.6518 0.8361
0.4930 0.5070 0.6135
0.5070 0.4930 0.1135
0.6518 0.3482 0.3361
0.6699 0.3301 0.7319
0.7125 0.2875 0.9950
0.9680 0.0320 0.3253
```

Values from the calculation:
**Calculated volume**: 322.6 Å³ per cell
**Raw total energy**: -0.2501 hartree per atom
**Symmetry**: No. 36

=====

No. 2
# NaLaMo2O8

NaLaMo2O8 after structural relaxation (PBE+U, the Alexandria database).

Structure (POSCAR):
```
NaLaMo2O8
1.0
-2.7037 2.7037 5.9018
2.7037 -2.7037 5.9018
2.7037 2.7037 -5.9018
Na La Mo O
1 1 2 8
Direct
0.0000 0.0000 0.0000
0.7500 0.2500 0.5000
0.2500 0.7500 0.5000
0.5000 0.5000 0.0000
0.0207 0.4275 0.1110
0.0904 0.9793 0.4068
0.1753 0.5523 0.9001
0.3164 0.9096 0.8890
0.4477 0.3479 0.6231
0.5725 0.6836 0.5932
0.6521 0.2752 0.0999
0.7248 0.8247 0.3769
```

Values from the calculation:
**Calculated volume**: 172.6 Å³ per cell
**Raw total energy**: -0.2636 hartree per atom
**Symmetry**: No. 82